No. 1
A relaxed BePRh crystal. Source: the Alexandria database, functional GGA-PBE.

Output
Space group = Cm
DOS at the Fermi energy = 1.39 states/eV per cell
E above lowest polymorph = 39 meV per atom

Lattice parameters (Å, degrees): 5.2621 5.2621 4.4603 100.86 100.86 38.33
Sites, in units of the cell vectors:
Be (0.0000, 0.0000, 0.0000)
Be (0.6896, 0.6896, 0.3422)
P (0.2629, 0.2629, 0.0949)
P (0.9979, 0.9979, 0.4851)
Rh (0.3467, 0.3467, 0.6384)
Rh (0.6291, 0.6291, 0.8048)

=====

No. 2
A relaxed BeP2Rh2 crystal. Source: the Alexandria database, functional GGA-PBE.

Output
Space group = P4/mbm
DOS at the Fermi energy = 2.93 states/eV per cell
E above lowest polymorph = 18 meV per atom

Lattice parameters (Å, degrees): 5.9794 5.9794 3.7494 90.00 90.00 90.00
Sites, in units of the cell vectors:
Be (0.0000, 0.0000, 0.0000)
Be (0.5000, 0.5000, 0.0000)
P (0.1235, 0.3765, 0.0000)
P (0.3765, 0.8765, 0.0000)
P (0.6235, 0.1235, 0.0000)
P (0.8765, 0.6235, 0.0000)
Rh (0.2333, 0.7333, 0.5000)
Rh (0.2667, 0.2333, 0.5000)
Rh (0.7333, 0.7667, 0.5000)
Rh (0.7667, 0.2667, 0.5000)

=====

No. 3
A relaxed BePRh crystal. Source: the Alexandria database, functional GGA-PBE.

Output
Space group = Amm2
DOS at the Fermi energy = 2.20 states/eV per cell
E above lowest polymorph = 88 meV per atom

Lattice parameters (Å, degrees): 3.1588 6.1475 6.1475 111.02 90.00 90.00
Sites, in units of the cell vectors:
Be (0.0000, 0.0000, 0.0000)
Be (0.0000, 0.2533, 0.6270)
Be (0.0000, 0.6270, 0.2533)
P (0.5000, 0.4107, 0.4107)
P (0.5000, 0.6629, 0.9695)
P (0.5000, 0.9695, 0.6629)
Rh (0.0000, 0.6562, 0.6562)
Rh (0.5000, 0.0113, 0.3004)
Rh (0.5000, 0.3004, 0.0113)